Record 1
## Ho2Si4IrPt (PBE-GGA)

Data for a relaxed structure of Ho2Si4IrPt.

volume: 288.2 Å³/cell
density: 9.56 g/cm³
space-group type: Amm2 (38)

Cell lengths 4.1973, 4.0840, 16.8112 Å; angles 90.00, 90.00, 90.00 degrees
Last column: nearest neighbours and their distance in Å.
Element x y z (fractional)
Ho1 0.0000 0.0000 0.0000  10 Si 3.06-3.26, 4 Ir 3.18
Ho2 0.0000 0.5000 0.5000  10 Si 3.06-3.26, 4 Ir 3.18
Ho3 0.5000 0.0000 0.2066  10 Si 3.12-3.28, 4 Pt 3.15
Ho4 0.5000 0.5000 0.7066  10 Si 3.12-3.28, 4 Pt 3.15
Si1 0.0000 0.0000 0.3562  2 Ir 2.41, 2 Pt 2.45
Si2 0.0000 0.0000 0.6356  1 Pt 2.36, 2 Si 2.40
Si3 0.0000 0.5000 0.1356  1 Pt 2.36, 2 Si 2.40
Si4 0.0000 0.5000 0.8562  2 Ir 2.41, 2 Pt 2.45
Si5 0.5000 0.0000 0.5661  1 Ir 2.35, 2 Si 2.40
Si6 0.5000 0.0000 0.8516  2 Ir 2.40, 2 Pt 2.45
Si7 0.5000 0.5000 0.0661  1 Ir 2.35, 2 Si 2.40
Si8 0.5000 0.5000 0.3516  2 Ir 2.40, 2 Pt 2.45
Ir1 0.5000 0.0000 0.4262  5 Si 2.35-2.41
Ir2 0.5000 0.5000 0.9262  5 Si 2.35-2.41
Pt1 0.0000 0.0000 0.7762  5 Si 2.36-2.45
Pt2 0.0000 0.5000 0.2762  5 Si 2.36-2.45

---

Record 2
## Tb2YAl3AgPd2 (PBE-GGA)

Data for a relaxed structure of Tb2YAl3AgPd2.

volume: 184.8 Å³/cell
density: 7.26 g/cm³
space-group type: Amm2 (38)

Cell lengths 3.8982, 7.4045, 7.4045 Å; angles 120.14, 90.00, 90.00 degrees
Last column: nearest neighbours and their distance in Å.
Element x y z (fractional)
Tb1 0.0000 0.2079 0.7921  4 Pd 2.95, 1 Ag 3.08, 2 Al 3.13
Tb2 0.0000 0.7921 0.2079  4 Pd 2.95, 1 Ag 3.08, 2 Al 3.13
Y1 0.0000 0.6226 0.6226  4 Pd 2.97, 1 Ag 3.07, 6 Al 3.12-3.31
Al1 0.5000 0.2087 0.4614  2 Ag 2.71, 2 Pd 2.81
Al2 0.5000 0.4614 0.2087  2 Ag 2.71, 2 Pd 2.81
Al3 0.5000 0.9531 0.9531  2 Ag 2.71, 2 Pd 2.81
Ag1 0.0000 0.2071 0.2071  6 Al 2.71
Pd1 0.5000 0.5409 0.8758  3 Al 2.81, 4 Tb 2.95, 2 Y 2.97
Pd2 0.5000 0.8758 0.5409  3 Al 2.81, 4 Tb 2.95, 2 Y 2.97

---

Record 3
## Y2TaNbSi2 (PBE-GGA)

Data for a relaxed structure of Y2TaNbSi2.

volume: 124.6 Å³/cell
density: 6.77 g/cm³
space-group type: P-4m2 (115)

Cell lengths 4.0019, 4.0019, 7.7782 Å; angles 90.00, 90.00, 90.00 degrees
Last column: nearest neighbours and their distance in Å.
Element x y z (fractional)
Y1 0.0000 0.5000 0.1473  5 Si 2.96-3.17
Y2 0.5000 0.0000 0.8527  5 Si 2.96-3.17
Ta1 0.5000 0.5000 0.5000  4 Si 2.74, 4 Nb 2.83
Nb1 0.0000 0.0000 0.5000  4 Si 2.74, 4 Ta 2.83
Si1 0.0000 0.5000 0.7399  2 Ta 2.74, 2 Nb 2.74, 4 Y 2.96
Si2 0.5000 0.0000 0.2601  2 Ta 2.74, 2 Nb 2.74, 4 Y 2.96

---

Record 4
## KCdCO3F (PBE-GGA)

Data for a relaxed structure of KCdCO3F.

volume: 97.1 Å³/cell
density: 3.94 g/cm³
space-group type: P-6m2 (187)

Cell lengths 5.0509, 5.0509, 4.3934 Å; angles 90.00, 90.00, 120.00 degrees
Last column: nearest neighbours and their distance in Å.
Element x y z (fractional)
K1 0.0000 0.0000 0.0000  6 O 2.73, 3 F 2.92
Cd1 0.6667 0.3333 0.5000  2 F 2.20
C1 0.3333 0.6667 0.5000  3 O 1.29
O1 0.1855 0.3710 0.5000  1 C 1.29
O2 0.1855 0.8145 0.5000  1 C 1.29
O3 0.6290 0.8145 0.5000  1 C 1.29
F1 0.6667 0.3333 0.0000  2 Cd 2.20

---

no.,final energy (eV per atom)
1,-6.67
2,-5.16
3,-8.25
4,-5.72